The following is a DFT calculation (PBE with a Hubbard U) of Sr3NbCr2O9 after structural relaxation.

The structure in POSCAR format:
```
Sr3NbCr2O9
1.0
-2.783 4.734 1.119
-0.429 -4.388 3.460
5.385 2.314 3.603
O Sr Nb Cr
9 3 1 2
Cartesian
-1.392 2.367 0.559
1.172 0.088 2.544
0.959 -2.089 4.260
1.213 4.750 3.922
2.594 2.401 3.366
-0.422 0.260 4.816
-1.606 0.173 2.290
1.000 2.573 5.638
-0.215 -2.194 1.730
2.450 0.228 5.132
-0.278 2.433 3.050
0.000 0.000 0.000
2.692 1.157 1.801
-0.355 -0.978 3.255
2.527 3.638 4.927
```

Space group: P-3m1
Calculated volume in A^3/atom: 12.48
VASP energy in eV/atom: -7.49